Compound: NaTm2CuCl8
Source: the Alexandria database
Functional: PBE-GGA
Structure: relaxed

Unit cell a=6.926 b=7.718 c=7.881 alpha=96.23 beta=89.55 gamma=59.76
Each line ends with the local moment (μB).
Element x y z (fractional)
Cu 0.000 0.000 0.000  0.07
Cl 0.509 0.724 0.505  0.00
Cl 0.530 0.714 0.043  0.00
Cl 0.063 0.776 0.784  0.00
Cl 0.929 0.315 0.728  0.00
Cl 0.491 0.276 0.495  0.00
Cl 0.071 0.685 0.272  0.00
Cl 0.937 0.224 0.216  0.00
Cl 0.470 0.286 0.957  0.00
Na 0.000 0.000 0.500  0.00
Tm 0.492 0.482 0.245  0.00
Tm 0.508 0.518 0.755  0.00

Results
Magnetic moment: 0.08 μB per formula unit
Formation energy (no corrections): -1.862 eV/atom